CsNiB2H8 | Alexandria | PBE-GGA | relaxed; crystal system = trigonal; E_tot = -47.707 eV per cell; space group = R-3; DOS(E_F) = 4.3 states/eV per cell
1.0
4.699 0.000 0.000
2.349 4.069 0.000
2.349 1.356 6.977
Ni Cs B H
1 1 2 8
Cartesian
0.000 0.000 0.000
4.699 2.713 3.489
7.048 4.069 5.608
2.349 1.356 1.370
7.054 2.883 6.018
2.344 2.543 0.960
6.018 4.658 6.018
2.349 1.356 2.592
1.325 0.758 0.960
7.048 4.069 4.386
8.073 4.667 6.018
3.380 0.768 0.960